{
  "formula": "Pm2TiBiO6",
  "functional": "PBE-GGA",
  "state": "optimized geometry",
  "formation_energy_uncorrected_kcal_per_mol_atoms": -58.5,
  "spacegroup": "P4mm, No. 99",
  "cell": [[5.411, 0.000, 0.000], [0.000, 5.411, 0.000], [0.000, 0.000, 5.505]],
  "species": ["Pm", "Pm", "Ti", "Bi", "O", "O", "O", "O", "O", "O"],
  "frac_coords": [[0.000, 0.500, 0.000], [0.500, 0.000, 0.000], [0.000, 0.000, 0.620], [0.500, 0.500, 0.524], [0.000, 0.000, 0.287], [0.233, 0.233, 0.761], [0.233, 0.767, 0.761], [0.500, 0.500, 0.121], [0.767, 0.233, 0.761], [0.767, 0.767, 0.761]]
}